<1>
The following is a DFT calculation (GGA-PBE) of an optimized crystal structure of SrAcSn.

```
data_SrAcSn
_chemical_formula_sum 'Sr6 Ac6 Sn6'
_symmetry_space_group_name_H-M 'R -3 m'
_symmetry_Int_Tables_number 166
_symmetry_space_group_name_Hall '-R 3 2"'
_cell_length_a 5.6121
_cell_length_b 5.6121
_cell_length_c 27.9110
_cell_angle_alpha 90.00
_cell_angle_beta 90.00
_cell_angle_gamma 120.00
loop_
_atom_site_label
_atom_site_type_symbol
_atom_site_fract_x
_atom_site_fract_y
_atom_site_fract_z
Sr1 Sr 0.0000 0.0000 0.1271
Ac1 Ac 0.0000 0.0000 0.3762
Sn1 Sn 0.0000 0.0000 0.2508
```

As for the magnetization: 0.5 μB per formula unit.

<2>
The following is a DFT calculation (GGA-PBE) of an optimized crystal structure of SrAcSn.

```
data_SrAcSn
_chemical_formula_sum 'Sr2 Ac2 Sn2'
_symmetry_space_group_name_H-M 'I 4 m m'
_symmetry_Int_Tables_number 107
_symmetry_space_group_name_Hall 'I 4 -2'
_cell_length_a 3.935
_cell_length_b 3.935
_cell_length_c 15.417
_cell_angle_alpha 90.00
_cell_angle_beta 90.00
_cell_angle_gamma 90.00
loop_
_atom_site_label
_atom_site_type_symbol
_atom_site_fract_x
_atom_site_fract_y
_atom_site_fract_z
Sr1 Sr 0.000 0.000 0.000
Ac1 Ac 0.000 0.000 0.278
Sn1 Sn 0.000 0.000 0.641
```

As for the magnetization: 0.0 μB per formula unit.

Last place for stability: <2>

<1>
The following is a DFT calculation (GGA-PBE) of an optimized crystal structure of Sr2AcSn.

```
data_Sr2AcSn
_chemical_formula_sum 'Sr2 Ac1 Sn1'
_symmetry_space_group_name_H-M 'P 4/m m m'
_symmetry_Int_Tables_number 123
_symmetry_space_group_name_Hall '-P 4 2'
_cell_length_a 3.914
_cell_length_b 3.914
_cell_length_c 10.681
_cell_angle_alpha 90.00
_cell_angle_beta 90.00
_cell_angle_gamma 90.00
loop_
_atom_site_label
_atom_site_type_symbol
_atom_site_fract_x
_atom_site_fract_y
_atom_site_fract_z
Sr1 Sr 0.000 0.000 0.198
Ac1 Ac 0.500 0.500 0.500
Sn1 Sn 0.500 0.500 0.000
```

As for the magnetization: 0.0 μB per formula unit.

<2>
The following is a DFT calculation (GGA-PBE) of an optimized crystal structure of Sr2AcSn.

```
data_Sr2AcSn
_chemical_formula_sum 'Sr6 Ac3 Sn3'
_symmetry_space_group_name_H-M 'R -3 m'
_symmetry_Int_Tables_number 166
_symmetry_space_group_name_Hall '-R 3 2"'
_cell_length_a 3.9369
_cell_length_b 3.9369
_cell_length_c 38.6375
_cell_angle_alpha 90.00
_cell_angle_beta 90.00
_cell_angle_gamma 120.00
loop_
_atom_site_label
_atom_site_type_symbol
_atom_site_fract_x
_atom_site_fract_y
_atom_site_fract_z
Sr1 Sr 0.0000 0.0000 0.1009
Ac1 Ac 0.0000 0.0000 0.0000
Sn1 Sn 0.0000 0.0000 0.5000
```

As for the magnetization: 0.0 μB per formula unit.

Last place for stability: <2>